Record 1
Compound: MgCd3C4O12
Source: Alexandria via LeMat-Bulk
Functional: PBEsol
Structure: optimized geometry

## Properties
- raw formation energy (meV/atom) = -1529
- calculated total energy (eV/atom) = -6.872
- density of states at the Fermi level (states/eV/cell) = 0.00
- mass density (g/cm³) = 4.58

Geometry as POSCAR:
```
MgCd3C4O12
1.0
4.877 0.000 0.000
2.438 4.223 0.000
2.438 1.408 10.581
Mg Cd C O
1 3 4 12
Direct
0.500 0.500 0.500
0.000 0.000 0.000
0.246 0.246 0.263
0.754 0.754 0.737
0.129 0.129 0.613
0.623 0.623 0.130
0.871 0.871 0.387
0.377 0.377 0.870
0.377 0.161 0.614
0.891 0.619 0.130
0.849 0.377 0.614
0.360 0.891 0.130
0.161 0.849 0.614
0.619 0.360 0.130
0.151 0.623 0.386
0.640 0.109 0.870
0.839 0.151 0.386
0.381 0.640 0.870
0.623 0.839 0.386
0.109 0.381 0.870
```

Record 2
Compound: KCr2Fe
Source: Alexandria via LeMat-Bulk
Functional: PBEsol
Structure: optimized geometry

## Properties
- calculated total energy (eV/atom) = -6.632
- density of states at the Fermi level (states/eV/cell) = 4.02
- mass density (g/cm³) = 4.32
- formation enthalpy at 0 K (kJ/mol of formula units) = 391

Geometry as POSCAR:
```
KCr2Fe
1.0
2.810 0.000 0.000
-1.405 3.678 0.045
0.000 -0.722 7.398
Cr Fe K
2 1 1
Direct
0.976 0.952 0.886
0.250 0.501 0.732
0.521 0.043 0.617
0.752 0.504 0.265
```